(1)
The following is a GGA-PBE calculation of a geometry-optimized In2TcCl structure, from Alexandria via LeMat-Bulk.

Summary:
- size of the total moment (Bohr magnetons per cell) = 2.58
- space-group type = I-4m2
- N(E_F) (states/eV/atom) = 0.56
- total DFT energy (no corrections) (eV per formula unit) = -15.77
- energy above the lowest structure with this stoichiometry (meV per atom) = 528.4

a b c (Å): 6.436 6.436 6.436
angles (deg): 143.38 143.38 52.75
Sites, in units of the cell vectors:
Cl 0.750 0.250 0.500
In 0.000 0.000 0.000
In 0.250 0.750 0.500
Tc 0.500 0.500 0.000

(2)
The following is a GGA-PBE calculation of a geometry-optimized InTcCl structure, from Alexandria via LeMat-Bulk.

Summary:
- size of the total moment (Bohr magnetons per cell) = 1.76
- space-group type = P-6m2
- N(E_F) (states/eV/atom) = 0.94
- total DFT energy (no corrections) (eV per formula unit) = -13.52
- energy above the lowest structure with this stoichiometry (meV per atom) = 244.3

a b c (Å): 4.519 4.519 3.158
angles (deg): 90.00 90.00 120.00
Sites, in units of the cell vectors:
Cl 0.000 0.000 0.833
In 0.667 0.333 0.333
Tc 0.333 0.667 0.833

(3)
The following is a GGA-PBE calculation of a geometry-optimized In2TcCl structure, from Alexandria via LeMat-Bulk.

Summary:
- size of the total moment (Bohr magnetons per cell) = 0.17
- space-group type = Cmm2
- N(E_F) (states/eV/atom) = 0.79
- total DFT energy (no corrections) (eV per formula unit) = -16.80
- energy above the lowest structure with this stoichiometry (meV per atom) = 272.5

a b c (Å): 3.202 3.202 10.290
angles (deg): 90.00 90.00 122.46
Sites, in units of the cell vectors:
Cl 0.500 0.500 0.689
In 0.000 0.000 0.011
In 0.500 0.500 0.286
Tc 0.000 0.000 0.515